Density functional theory data (PBE) for a relaxed TbSc3Se6 crystal.

crystal system = monoclinic
energy = -6.1793 eV/atom
raw formation energy = -1.726 eV/atom
symmetry = P2_1/m
size of the total moment = 0.00 μB per atom

Unit cell a=3.9317 b=11.1985 c=11.3972 alpha=109.73 beta=90.00 gamma=90.00
Closest atoms and distances in Å follow each position.
Fractional positions:
Sc1 0.2500 0.8409 0.9131  6 Se 2.64-2.75
Sc2 0.2500 0.3168 0.5017  6 Se 2.68-2.90
Sc3 0.2500 0.5608 0.1638  6 Se 2.69-2.77
Sc4 0.7500 0.4392 0.8362  6 Se 2.69-2.77
Sc5 0.7500 0.1591 0.0869  6 Se 2.64-2.75
Sc6 0.7500 0.6832 0.4983  6 Se 2.68-2.90
Se1 0.2500 0.0818 0.9085  3 Sc 2.72-2.75, 2 Tb 3.02
Se2 0.2500 0.5235 0.3852  3 Sc 2.68-2.69
Se3 0.7500 0.7990 0.7494  3 Sc 2.64-2.71
Se4 0.7500 0.3918 0.0595  4 Sc 2.71-2.77
Se5 0.2500 0.2641 0.7289  3 Sc 2.75-2.84, 2 Tb 3.05
Se6 0.7500 0.9182 0.0915  3 Sc 2.72-2.75, 2 Tb 3.02
Se7 0.7500 0.1173 0.4673  2 Sc 2.90, 3 Tb 2.92-2.99
Se8 0.7500 0.7359 0.2711  3 Sc 2.75-2.84, 2 Tb 3.05
Se9 0.2500 0.8827 0.5327  2 Sc 2.90, 3 Tb 2.92-2.99
Se10 0.7500 0.4765 0.6148  3 Sc 2.68-2.69
Se11 0.2500 0.6082 0.9405  4 Sc 2.71-2.77
Se12 0.2500 0.2010 0.2506  3 Sc 2.64-2.71
Tb1 0.2500 0.9520 0.3009  8 Se 2.92-3.05
Tb2 0.7500 0.0480 0.6991  8 Se 2.92-3.05

Density functional theory data (PBE) for a relaxed Hf2Co5As3 crystal.

crystal system = orthorhombic
energy = -7.4286 eV/atom
energy relative to the elements = -0.49 eV per atom
symmetry = Cmc2_1
size of the total moment = 0.39 μB per atom

Unit cell a=3.8498 b=6.3569 c=11.4991 alpha=90.00 beta=99.64 gamma=90.00
Closest atoms and distances in Å follow each position.
Fractional positions:
Co1 0.8731 0.7232 0.7461  4 As 2.39-2.67
Co2 0.0567 0.5926 0.1134  4 As 2.38-2.45
Co3 0.6004 0.8952 0.2008  3 As 2.34-2.47, 1 Co 2.49
Co4 0.7119 0.4233 0.4238  4 As 2.30-2.34, 1 Co 2.54
Co5 0.2961 0.5241 0.5921  3 As 2.37-2.41, 2 Co 2.49-2.54
Co6 0.9433 0.0926 0.8866  4 As 2.38-2.45
Co7 0.7039 0.0241 0.4079  3 As 2.37-2.41, 2 Co 2.49-2.54
Co8 0.1269 0.2232 0.2539  4 As 2.39-2.67
Co9 0.2881 0.9233 0.5762  4 As 2.30-2.34, 1 Co 2.54
Co10 0.3996 0.3952 0.7992  3 As 2.34-2.47, 1 Co 2.49
As1 0.9546 0.4682 0.9092  5 Co 2.34-2.46
As2 0.0454 0.9682 0.0908  5 Co 2.34-2.46
As3 0.6135 0.5096 0.2270  4 Co 2.30-2.47
As4 0.2324 0.2276 0.4648  7 Co 2.31-2.41
As5 0.7676 0.7276 0.5352  7 Co 2.31-2.41
As6 0.3865 0.0096 0.7730  4 Co 2.30-2.47
Hf1 0.4793 0.7573 0.9586  5 As 2.64-2.78, 4 Co 2.81-2.93
Hf2 0.1751 0.7437 0.3501  8 Co 2.70-2.92, 4 As 2.81-2.85
Hf3 0.5207 0.2573 0.0414  5 As 2.64-2.78, 4 Co 2.81-2.93
Hf4 0.8249 0.2437 0.6499  8 Co 2.70-2.92, 4 As 2.81-2.85

Density functional theory data (PBE) for a relaxed LaMg6W crystal.

crystal system = orthorhombic
energy = -3.1239 eV/atom
energy relative to the elements = 0.31 eV per atom
excess energy over the best structure of this formula in the dataset = 0.00 eV/f.u.
symmetry = Amm2
size of the total moment = 0.00 μB per atom

Unit cell a=6.5662 b=6.5662 c=5.0134 alpha=90.00 beta=90.00 gamma=121.99
Closest atoms and distances in Å follow each position.
Fractional positions:
W1 0.3138 0.6862 0.5000  2 La 2.82
Mg1 0.1866 0.3289 0.0000  7 Mg 2.99-3.28, 1 La 3.04, 2 W 3.23
Mg2 0.3266 0.1861 0.5000  8 Mg 2.99-3.30, 2 W 3.24-3.33, 2 La 3.34
Mg3 0.8139 0.6734 0.5000  8 Mg 2.99-3.30, 2 W 3.24-3.33, 2 La 3.34
Mg4 0.8236 0.1764 0.5000  10 Mg 3.11-3.30, 2 W 3.19
Mg5 0.6711 0.8134 0.0000  7 Mg 2.99-3.28, 1 La 3.04, 2 W 3.23
Mg6 0.6637 0.3363 0.0000  10 Mg 3.11-3.46, 2 La 3.21
La1 0.2006 0.7994 0.0000  2 W 2.82, 2 Mg 3.04

Density functional theory data (PBE) for a relaxed Cd2GaNi3 crystal.

crystal system = trigonal
energy = -3.8516 eV/atom
energy relative to the elements = -0.15 eV per atom
symmetry = R-3m
size of the total moment = 0.00 μB per atom

Unit cell a=4.8463 b=4.8463 c=4.8463 alpha=63.99 beta=63.99 gamma=63.99
Closest atoms and distances in Å follow each position.
Fractional positions:
Ni1 0.0000 0.5000 0.0000  2 Ga 2.42, 4 Ni 2.57
Ni2 0.0000 0.0000 0.5000  2 Ga 2.42, 4 Ni 2.57
Ni3 0.5000 0.0000 0.0000  2 Ga 2.42, 4 Ni 2.57
Cd1 0.3761 0.3761 0.3761  9 Ni 2.83-2.94, 4 Cd 2.85-3.12, 3 Ga 3.01
Cd2 0.6239 0.6239 0.6239  9 Ni 2.83-2.94, 4 Cd 2.85-3.12, 3 Ga 3.01
Ga1 0.0000 0.0000 0.0000  6 Ni 2.42